Record 1
A plane-wave DFT calculation with PBE was carried out for a relaxed CeHo2P3 crystal.

The structure belongs to space group Immm (No. 71); the cell edges are 4.0212, 5.6835 and 12.0398 Å and the angles 90.00°, 90.00° and 90.00°. The asymmetric unit holds Ce at (0.0000, 0.0000, 0.0000), Ho at (0.0000, 0.0000, 0.3335), P at (0.0000, 0.5000, 0.0000) and P at (0.0000, 0.5000, 0.3319).

The value obtained for the total energy is -81.6 eV/cell. The calculation puts the total magnetic moment at 0.0730 μB/atom. As for the theoretical density: 6.79 g/cm3. The value obtained for the energy of formation is -1.58 eV per atom. For the density of states at the Fermi level, the calculation gives 0.85 states/eV/atom.

Record 2
A plane-wave DFT calculation with PBE was carried out for a relaxed La7PrDy4 crystal.

The structure belongs to space group P-1 (No. 2); the cell edges are 6.4398, 7.4014 and 9.1057 Å and the angles 90.00°, 76.41° and 89.94°. The asymmetric unit holds La at (0.0000, 0.0000, 0.0000), La at (0.2223, 0.5006, 0.3339), La at (0.2810, 0.2484, 0.6642), La at (0.4987, 0.2450, 0.0035), Pr at (0.0000, 0.5000, 0.0000), Dy at (0.2185, 0.0005, 0.3359) and Dy at (0.2763, 0.7559, 0.6674).

The value obtained for the total energy is -57.5 eV/cell. The calculation puts the total magnetic moment at 0.0000 μB/atom. As for the theoretical density: 6.94 g/cm3. The value obtained for the energy of formation is 0.01 eV per atom. For the density of states at the Fermi level, the calculation gives 1.57 states/eV/atom.

Record 3
A plane-wave DFT calculation with PBE was carried out for a relaxed MnIn2Co crystal.

The structure belongs to space group P4mm (No. 99); the cell edges are 3.1103, 3.1103 and 7.3728 Å and the angles 90.00°, 90.00° and 90.00°. The asymmetric unit holds Mn at (0.0000, 0.0000, 0.0000), In at (0.0000, 0.0000, 0.3918), In at (0.5000, 0.5000, 0.7522) and Co at (0.5000, 0.5000, 0.1671).

The value obtained for the total energy is -21.1 eV/cell. The calculation puts the total magnetic moment at 1.1708 μB/atom. As for the theoretical density: 8.00 g/cm3. The value obtained for the energy of formation is 0.16 eV per atom. For the density of states at the Fermi level, the calculation gives 0.54 states/eV/atom.

Record 4
A plane-wave DFT calculation with PBE was carried out for a relaxed MgInCl2 crystal.

The structure belongs to space group Fm-3m (No. 225); the cell edges are 7.3888, 7.3888 and 7.3888 Å and the angles 90.00°, 90.00° and 90.00°. The asymmetric unit holds Mg at (0.0000, 0.0000, 0.0000), In at (0.0000, 0.0000, 0.5000) and Cl at (0.2500, 0.2500, 0.2500).

The value obtained for the total energy is -42.4 eV/cell. The calculation puts the total magnetic moment at 0.0000 μB/atom. As for the theoretical density: 3.46 g/cm3. As for the uncorrected formation energy: -0.640 eV/atom. For the density of states at the Fermi level, the calculation gives 0.51 states/eV/atom.

Record 5
A plane-wave DFT calculation with PBE was carried out for a relaxed Sc2MnPb crystal.

The structure belongs to space group P4/mmm (No. 123); the cell edges are 4.4925, 4.4925 and 4.1857 Å and the angles 90.00°, 90.00° and 90.00°. The asymmetric unit holds Sc at (0.0000, 0.5000, 0.0000), Mn at (0.0000, 0.0000, 0.5000) and Pb at (0.5000, 0.5000, 0.5000).

The value obtained for the total energy is -26.0 eV/cell. The calculation puts the total magnetic moment at 0.6363 μB/atom. As for the theoretical density: 6.92 g/cm3. The value obtained for the energy of formation is -0.12 eV per atom. For the density of states at the Fermi level, the calculation gives 1.22 states/eV/atom.

Record 6
A plane-wave DFT calculation with PBE was carried out for a relaxed SrLi3Pt crystal.

The structure belongs to space group P1 (No. 1); the cell edges are 5.6778, 5.7550 and 7.1650 Å and the angles 81.79°, 82.30° and 77.62°. The asymmetric unit holds Sr at (0.0000, 0.0000, 0.0000), Sr at (0.2891, 0.5722, 0.5637), Li at (0.1913, 0.1079, 0.3997), Li at (0.4061, 0.3920, 0.1099), Li at (0.5213, 0.0762, 0.8088), Li at (0.6970, 0.9854, 0.4407), Li at (0.7204, 0.5979, 0.8611), Li at (0.8140, 0.5063, 0.2870), Pt at (0.4939, 0.8580, 0.1559) and Pt at (0.8407, 0.2927, 0.6227).

The value obtained for the total energy is -30.4 eV/cell. The calculation puts the total magnetic moment at 0.0000 μB/atom. As for the theoretical density: 4.48 g/cm3. The value obtained for the energy of formation is -0.34 eV per atom. For the density of states at the Fermi level, the calculation gives 0.40 states/eV/atom.

Record 7
A plane-wave DFT calculation with PBE was carried out for a relaxed LiAs5 crystal.

The structure belongs to space group P4/mmm (No. 123); the cell edges are 2.7416, 2.7416 and 15.5678 Å and the angles 90.00°, 90.00° and 90.00°. The asymmetric unit holds Li at (0.0000, 0.0000, 0.0000), As at (0.0000, 0.0000, 0.3388), As at (0.5000, 0.5000, 0.1334) and As at (0.5000, 0.5000, 0.5000).

The value obtained for the total energy is -23.9 eV/cell. The calculation puts the total magnetic moment at 0.0000 μB/atom. As for the theoretical density: 5.41 g/cm3. The value obtained for the energy of formation is 0.20 eV per atom. For the density of states at the Fermi level, the calculation gives 0.58 states/eV/atom.

Record 8
A plane-wave DFT calculation with PBE was carried out for a relaxed La8Rh3Cl3O crystal.

The structure belongs to space group C2/m (No. 12); the cell edges are 14.1762, 8.1659 and 8.8142 Å and the angles 90.00°, 122.36° and 90.00°. The asymmetric unit holds La at (0.0100, 0.2354, 0.2952), La at (0.2268, 0.0000, 0.7057), La at (0.2370, 0.5000, 0.7111), Rh at (0.0000, 0.5000, 0.5000), Rh at (0.2500, 0.2500, 0.5000), Cl at (0.0000, 0.0000, 0.0000), Cl at (0.2500, 0.2500, 0.0000) and O at (0.0000, 0.0000, 0.5000).

The value obtained for the total energy is -182.5 eV/cell. The calculation puts the total magnetic moment at 0.0329 μB/atom. As for the theoretical density: 5.94 g/cm3. As for the uncorrected formation energy: -1.284 eV/atom. For the density of states at the Fermi level, the calculation gives 0.75 states/eV/atom.